A relaxed structure of Cr3FeC, computed with PBE.

- total magnetization (μB per formula unit) = 0.0
- SG = Pm-3m, No. 221
- relative energy among the computed polymorphs (eV per atom) = 0.0000

Cell lengths 3.782, 3.782, 3.782 Å; angles 90.00, 90.00, 90.00 degrees
Positions (direct):
Cr  0.000  0.000  0.500
Cr  0.000  0.500  0.000
Cr  0.500  0.000  0.000
Fe  0.500  0.500  0.500
C  0.000  0.000  0.000

***

A relaxed structure of Cr4FeC, computed with PBE.

- total magnetization (μB per formula unit) = 0.0
- SG = P2_1/c, No. 14
- DFT total energy (eV/atom) = -9.057

Cell lengths 4.998, 4.678, 5.896 Å; angles 90.00, 105.14, 90.00 degrees
Positions (direct):
Cr  0.087  0.147  0.208
Cr  0.087  0.353  0.708
Cr  0.374  0.590  0.118
Cr  0.374  0.910  0.618
Cr  0.626  0.090  0.382
Cr  0.626  0.410  0.882
Cr  0.913  0.647  0.292
Cr  0.913  0.853  0.792
Fe  0.500  0.000  0.000
Fe  0.500  0.500  0.500
C  0.000  0.000  0.500
C  0.000  0.500  0.000

***

A relaxed structure of CrFeC2, computed with PBE.

- total magnetization (μB per formula unit) = 2.0
- SG = I-42d, No. 122
- relative energy among the computed polymorphs (eV per atom) = 0.0000

Cell lengths 5.358, 5.358, 5.358 Å; angles 132.37, 132.37, 69.64 degrees
Positions (direct):
Cr  0.000  0.000  0.000
Cr  0.750  0.250  0.500
Fe  0.250  0.750  0.500
Fe  0.500  0.500  0.000
C  0.139  0.625  0.014
C  0.375  0.389  0.514
C  0.611  0.125  0.986
C  0.875  0.861  0.486

***

A relaxed structure of CrFeC3, computed with PBE.

- total magnetization (μB per formula unit) = 0.9
- SG = Pm-3m, No. 221
- relative energy among the computed polymorphs (eV per atom) = 0.0000

Cell lengths 3.672, 3.672, 3.672 Å; angles 90.00, 90.00, 90.00 degrees
Positions (direct):
Cr  0.000  0.000  0.000
Fe  0.500  0.500  0.500
C  0.000  0.500  0.500
C  0.500  0.000  0.500
C  0.500  0.500  0.000

***

A relaxed structure of Cr3Fe2C, computed with PBE.

- total magnetization (μB per formula unit) = 2.9
- SG = P4_132, No. 213
- DFT total energy (eV/atom) = -9.140

Cell lengths 6.300, 6.300, 6.300 Å; angles 90.00, 90.00, 90.00 degrees
Positions (direct):
Cr  0.049  0.125  0.799
Cr  0.125  0.799  0.049
Cr  0.201  0.549  0.375
Cr  0.299  0.451  0.875
Cr  0.375  0.201  0.549
Cr  0.451  0.875  0.299
Cr  0.549  0.375  0.201
Cr  0.625  0.701  0.951
Cr  0.701  0.951  0.625
Cr  0.799  0.049  0.125
Cr  0.875  0.299  0.451
Cr  0.951  0.625  0.701
Fe  0.066  0.934  0.434
Fe  0.184  0.184  0.184
Fe  0.316  0.816  0.684
Fe  0.434  0.066  0.934
Fe  0.566  0.566  0.566
Fe  0.684  0.316  0.816
Fe  0.816  0.684  0.316
Fe  0.934  0.434  0.066
C  0.125  0.375  0.625
C  0.375  0.625  0.125
C  0.625  0.125  0.375
C  0.875  0.875  0.875

***

A relaxed structure of CrFeC2, computed with PBE.

- total magnetization (μB per formula unit) = 1.6
- SG = Fm-3m, No. 225
- relative energy among the computed polymorphs (eV per atom) = 0.3241

Cell lengths 3.543, 3.543, 3.543 Å; angles 60.00, 60.00, 60.00 degrees
Positions (direct):
Cr  0.000  0.000  0.000
Fe  0.500  0.500  0.500
C  0.250  0.250  0.250
C  0.750  0.750  0.750

***

A relaxed structure of Cr3FeC, computed with PBE.

- total magnetization (μB per formula unit) = 6.3
- SG = Pm-3m, No. 221
- relative energy among the computed polymorphs (eV per atom) = 1.9279

Cell lengths 4.284, 4.284, 4.284 Å; angles 90.00, 90.00, 90.00 degrees
Positions (direct):
Cr  0.000  0.000  0.500
Cr  0.000  0.500  0.000
Cr  0.500  0.000  0.000
Fe  0.000  0.000  0.000
C  0.500  0.500  0.500

***

A relaxed structure of CrFeC3, computed with PBE.

- total magnetization (μB per formula unit) = 0.0
- SG = Pm-3m, No. 221
- relative energy among the computed polymorphs (eV per atom) = 0.0139

Cell lengths 3.732, 3.732, 3.732 Å; angles 90.00, 90.00, 90.00 degrees
Positions (direct):
Cr  0.000  0.000  0.000
Fe  0.500  0.500  0.500
C  0.000  0.000  0.500
C  0.000  0.500  0.000
C  0.500  0.000  0.000

***

A relaxed structure of CrFe2C2, computed with PBE.

- total magnetization (μB per formula unit) = 6.0
- SG = P4/mmm, No. 123
- DFT total energy (eV/atom) = -7.347

Cell lengths 3.717, 3.717, 4.569 Å; angles 90.00, 90.00, 90.00 degrees
Positions (direct):
Cr  0.000  0.000  0.000
Fe  0.000  0.000  0.500
Fe  0.500  0.500  0.500
C  0.000  0.500  0.000
C  0.500  0.000  0.000

***

A relaxed structure of Cr3Fe3C, computed with PBE.

- total magnetization (μB per formula unit) = 1.4
- SG = Fd-3m, No. 227
- DFT total energy (eV/atom) = -9.009

Cell lengths 7.438, 7.438, 7.438 Å; angles 60.00, 60.00, 60.00 degrees
Positions (direct):
Cr  0.071  0.071  0.679
Cr  0.071  0.679  0.071
Cr  0.071  0.679  0.679
Cr  0.321  0.321  0.929
Cr  0.321  0.929  0.321
Cr  0.321  0.929  0.929
Cr  0.679  0.071  0.071
Cr  0.679  0.071  0.679
Cr  0.679  0.679  0.071
Cr  0.929  0.321  0.321
Cr  0.929  0.321  0.929
Cr  0.929  0.929  0.321
Fe  0.000  0.500  0.500
Fe  0.290  0.290  0.290
Fe  0.290  0.290  0.629
Fe  0.290  0.629  0.290
Fe  0.371  0.710  0.710
Fe  0.500  0.000  0.500
Fe  0.500  0.500  0.000
Fe  0.500  0.500  0.500
Fe  0.629  0.290  0.290
Fe  0.710  0.371  0.710
Fe  0.710  0.710  0.371
Fe  0.710  0.710  0.710
C  0.000  0.000  0.000
C  0.000  0.000  0.500
C  0.000  0.500  0.000
C  0.500  0.000  0.000

***

A relaxed structure of Cr21Fe2C6, computed with PBE.

- total magnetization (μB per formula unit) = 2.8
- SG = Fm-3m, No. 225
- DFT total energy (eV/atom) = -9.529

Cell lengths 7.459, 7.459, 7.459 Å; angles 60.00, 60.00, 60.00 degrees
Positions (direct):
Cr  0.000  0.000  0.000
Cr  0.000  0.000  0.339
Cr  0.000  0.000  0.661
Cr  0.000  0.339  0.000
Cr  0.000  0.339  0.661
Cr  0.000  0.661  0.000
Cr  0.000  0.661  0.339
Cr  0.145  0.618  0.618
Cr  0.339  0.000  0.000
Cr  0.339  0.000  0.661
Cr  0.339  0.661  0.000
Cr  0.382  0.382  0.382
Cr  0.382  0.382  0.855
Cr  0.382  0.855  0.382
Cr  0.618  0.145  0.618
Cr  0.618  0.618  0.145
Cr  0.618  0.618  0.618
Cr  0.661  0.000  0.000
Cr  0.661  0.000  0.339
Cr  0.661  0.339  0.000
Cr  0.855  0.382  0.382
Fe  0.250  0.250  0.250
Fe  0.750  0.750  0.750
C  0.278  0.278  0.722
C  0.278  0.722  0.278
C  0.278  0.722  0.722
C  0.722  0.278  0.278
C  0.722  0.278  0.722
C  0.722  0.722  0.278

***

A relaxed structure of Cr2InFeC, computed with PBE.

- total magnetization (μB per formula unit) = 3.6
- SG = P4/mmm, No. 123
- DFT total energy (eV/atom) = -7.248

Cell lengths 3.854, 3.854, 4.422 Å; angles 90.00, 90.00, 90.00 degrees
Positions (direct):
Cr  0.000  0.500  0.000
Cr  0.500  0.000  0.000
In  0.000  0.000  0.500
Fe  0.500  0.500  0.500
C  0.000  0.000  0.000

***

Question: What is the formula in the third record?
Answer: CrFeC2

***

Question: What is the formula in the ninth record?
Answer: CrFe2C2